Entry 1:
Tm6Te3PPt2 | PBE | relaxed

Unit cell a=7.131 b=7.131 c=7.504 alpha=99.16 beta=99.16 gamma=120.28
Fractional coordinates of all 12 atoms:
Tm 0.096 0.430 0.790
Tm 0.236 0.236 0.212
Tm 0.430 0.096 0.790
Tm 0.570 0.904 0.210
Tm 0.764 0.764 0.788
Tm 0.904 0.570 0.210
Te 0.000 0.000 0.500
Te 0.335 0.665 0.500
Te 0.665 0.335 0.500
P 0.500 0.500 0.000
Pt 0.167 0.833 0.000
Pt 0.833 0.167 0.000

Total DFT energy (no corrections) ... -5.787 eV/atom
Raw formation energy ... -15.70 eV per formula unit
DOS(E_F) ... 5.7 states/eV per cell
Space-group type ... No. 12

***

Entry 2:
BaHgH4 | PBE | relaxed

Unit cell a=9.168 b=5.418 c=7.299 alpha=90.00 beta=90.00 gamma=90.00
Fractional coordinates of all 24 atoms:
Ba 0.183 0.250 0.150
Ba 0.317 0.750 0.650
Ba 0.683 0.250 0.350
Ba 0.817 0.750 0.850
Hg 0.050 0.250 0.675
Hg 0.450 0.750 0.175
Hg 0.550 0.250 0.825
Hg 0.950 0.750 0.325
H 0.090 0.516 0.833
H 0.090 0.984 0.833
H 0.141 0.750 0.352
H 0.200 0.250 0.520
H 0.300 0.750 0.020
H 0.359 0.250 0.852
H 0.410 0.016 0.333
H 0.410 0.484 0.333
H 0.590 0.516 0.667
H 0.590 0.984 0.667
H 0.641 0.750 0.148
H 0.700 0.250 0.980
H 0.800 0.750 0.480
H 0.859 0.250 0.648
H 0.910 0.016 0.167
H 0.910 0.484 0.167

Total DFT energy (no corrections) ... -2.786 eV/atom
DOS(E_F) ... 0.0 states/eV per cell
Space-group type ... No. 62

***

Entry 3:
Nd2PuSi4Pt3 | PBE | relaxed

Unit cell a=4.268 b=4.268 c=10.916 alpha=90.00 beta=90.00 gamma=90.00
Fractional coordinates of all 10 atoms:
Nd 0.000 0.500 0.231
Nd 0.500 0.000 0.769
Pu 0.000 0.000 0.500
Si 0.000 0.000 0.000
Si 0.000 0.500 0.670
Si 0.500 0.000 0.330
Si 0.500 0.500 0.000
Pt 0.000 0.500 0.892
Pt 0.500 0.000 0.108
Pt 0.500 0.500 0.500

Total DFT energy (no corrections) ... -7.221 eV/atom
Raw formation energy ... -8.53 eV per formula unit
DOS(E_F) ... 13.7 states/eV per cell
Space-group type ... No. 115

***

Entry 4:
Er2GeRu | PBE | relaxed

Unit cell a=6.028 b=3.597 c=8.354 alpha=90.00 beta=106.39 gamma=90.00
Fractional coordinates of all 8 atoms:
Er 0.203 0.250 0.419
Er 0.269 0.750 0.055
Er 0.731 0.250 0.945
Er 0.797 0.750 0.581
Ge 0.375 0.750 0.718
Ge 0.625 0.250 0.282
Ru 0.112 0.250 0.782
Ru 0.888 0.750 0.218

Total DFT energy (no corrections) ... -6.394 eV/atom
DOS(E_F) ... 2.8 states/eV per cell
Space-group type ... No. 11

***

Entry 5:
CePmGa2Ir | PBE | relaxed

Unit cell a=7.648 b=7.648 c=7.648 alpha=151.07 beta=146.71 gamma=44.67
Fractional coordinates of all 5 atoms:
Ce 0.000 0.000 0.000
Pm 0.269 0.769 0.500
Ga 0.615 0.615 0.000
Ga 0.828 0.328 0.500
Ir 0.433 0.433 0.000

Total DFT energy (no corrections) ... -5.691 eV/atom
DOS(E_F) ... 6.7 states/eV per cell
Space-group type ... No. 44

***

Entry 6:
Ca2ZnCl | PBE | relaxed

Unit cell a=8.235 b=8.235 c=8.235 alpha=27.96 beta=27.96 gamma=27.96
Fractional coordinates of all 4 atoms:
Ca 0.248 0.248 0.248
Ca 0.752 0.752 0.752
Zn 0.500 0.500 0.500
Cl 0.000 0.000 0.000

Total DFT energy (no corrections) ... -2.682 eV/atom
Raw formation energy ... -3.60 eV per formula unit
DOS(E_F) ... 2.7 states/eV per cell
Energy above the lowest structure with this stoichiometry ... 0.010 eV per atom
Space-group type ... No. 166

***

Entry 7:
KY3Pt | PBE | relaxed

Unit cell a=5.611 b=5.611 c=5.611 alpha=90.00 beta=90.00 gamma=90.00
Fractional coordinates of all 5 atoms:
K 0.000 0.000 0.000
Y 0.000 0.500 0.500
Y 0.500 0.000 0.500
Y 0.500 0.500 0.000
Pt 0.500 0.500 0.500

Total DFT energy (no corrections) ... -5.553 eV/atom
DOS(E_F) ... 10.5 states/eV per cell
Energy above the lowest structure with this stoichiometry ... 0.000 eV per atom
Space-group type ... No. 221

***

- Look up the total DFT energy (no corrections) of the third one.
  -7.221 eV/atom